No. 1
Density functional theory data (PBE) for a geometry-optimized ScCu2Ru structure.

Unit cell a=3.259 b=3.425 c=5.268 alpha=90.00 beta=90.00 gamma=90.00
Fractional coordinates of all 4 atoms:
1 Ru 0.500 0.500 0.250
2 Cu 0.000 0.000 0.017
3 Cu 0.000 0.000 0.483
4 Sc 0.500 0.500 0.750

Calculated values
Energy relative to the lowest polymorph listed for this composition: 142 meV per atom
Calculated volume: 58.80 Å³/cell
Final energy: -24.04 eV/cell
ΔE_f: -0.059 eV per atom

---

No. 2
Density functional theory data (PBE) for a geometry-optimized TcRu2Rh5 structure.

Unit cell a=6.520 b=6.520 c=7.250 alpha=116.72 beta=116.72 gamma=90.00
Fractional coordinates of all 16 atoms:
1 Rh 0.481 0.682 0.663
2 Ru 0.365 0.865 0.000
3 Rh 0.000 0.000 0.000
4 Ru 0.135 0.365 0.000
5 Rh 0.019 0.519 0.337
6 Rh 0.981 0.481 0.663
7 Tc 0.250 0.250 0.500
8 Rh 0.318 0.818 0.337
9 Rh 0.500 0.500 0.000
10 Rh 0.519 0.318 0.337
11 Ru 0.865 0.635 0.000
12 Rh 0.682 0.182 0.663
13 Rh 0.182 0.981 0.663
14 Rh 0.818 0.019 0.337
15 Tc 0.750 0.750 0.500
16 Ru 0.635 0.135 0.000

Calculated values
Calculated volume: 237.86 Å³/cell
Final energy: -126.08 eV/cell
ΔE_f: 0.330 eV per atom

---

No. 3
Density functional theory data (PBE) for a geometry-optimized Na2CuAg2 structure.

Unit cell a=8.751 b=8.751 c=2.850 alpha=90.00 beta=90.00 gamma=90.00
Fractional coordinates of all 10 atoms:
1 Cu 0.500 0.500 0.000
2 Na 0.819 0.681 0.000
3 Na 0.681 0.181 0.000
4 Ag 0.885 0.385 0.500
5 Na 0.319 0.819 0.000
6 Na 0.181 0.319 0.000
7 Cu 0.000 0.000 0.000
8 Ag 0.615 0.885 0.500
9 Ag 0.115 0.615 0.500
10 Ag 0.385 0.115 0.500

Calculated values
Energy relative to the lowest polymorph listed for this composition: 214 meV per atom
Calculated volume: 218.26 Å³/cell
Final energy: -21.57 eV/cell
ΔE_f: 0.330 eV per atom

---

No. 4
Density functional theory data (PBE) for a geometry-optimized CaPm4Sm3Te8 structure.

Unit cell a=8.919 b=8.926 c=8.918 alpha=119.97 beta=120.00 gamma=90.00
Fractional coordinates of all 16 atoms:
1 Te 0.248 0.747 0.496
2 Sm 0.500 0.500 0.000
3 Te 0.752 0.253 0.001
4 Te 0.248 0.747 0.999
5 Pm 0.000 0.000 0.000
6 Te 0.751 0.747 0.999
7 Te 0.749 0.748 0.499
8 Pm 0.500 0.000 0.000
9 Ca 0.000 0.500 0.000
10 Te 0.249 0.253 0.001
11 Te 0.752 0.253 0.504
12 Pm 0.500 0.000 0.500
13 Pm 0.000 0.000 0.500
14 Sm 0.000 0.500 0.500
15 Sm 0.500 0.500 0.500
16 Te 0.251 0.252 0.501

Calculated values
Calculated volume: 502.25 Å³/cell
Final energy: -82.99 eV/cell
Formation energy (no corrections): -136.9 kJ per mole of atoms

---

No. 5
Density functional theory data (PBE) for a geometry-optimized ZnSiAg2 structure.

Unit cell a=4.759 b=4.759 c=4.819 alpha=80.55 beta=80.55 gamma=38.27
Fractional coordinates of all 4 atoms:
1 Si 0.750 0.750 0.750
2 Ag 0.001 0.001 0.998
3 Ag 0.499 0.499 0.502
4 Zn 0.250 0.250 0.250

Calculated values
Energy relative to the lowest polymorph listed for this composition: 48 meV per atom
Calculated volume: 66.58 Å³/cell
Final energy: -11.70 eV/cell
Formation energy (no corrections): 17.0 kJ per mole of atoms

---

No. 6
Density functional theory data (PBE) for a geometry-optimized MnCr2Ir structure.

Unit cell a=4.486 b=4.486 c=2.653 alpha=90.00 beta=90.00 gamma=108.62
Last column: magnetic moment on the atom in μB.
Fractional coordinates of all 4 atoms:
1 Cr 0.000 0.000 0.000  -0.87
2 Cr 0.500 0.500 0.000  -0.87
3 Mn 0.000 0.500 0.500  2.13
4 Ir 0.500 0.000 0.500  0.09

Calculated values
Calculated volume: 50.59 Å³/cell
Final energy: -37.32 eV/cell
ΔE_f: -0.010 eV per atom

---

No. 7
Density functional theory data (PBE) for a geometry-optimized RuRh5 structure.

Unit cell a=2.728 b=7.225 c=4.390 alpha=90.00 beta=90.00 gamma=79.12
Fractional coordinates of all 6 atoms:
1 Rh 0.333 0.333 0.000
2 Rh 0.225 0.551 0.500
3 Rh 0.666 0.669 0.000
4 Rh 0.554 0.893 0.500
5 Ru 0.889 0.221 0.500
6 Rh 0.000 0.000 0.000

Calculated values
Energy relative to the lowest polymorph listed for this composition: 31 meV per atom
Calculated volume: 84.98 Å³/cell
Final energy: -45.78 eV/cell
ΔE_f: 0.042 eV per atom

---

No. 8
Density functional theory data (PBE) for a geometry-optimized KSr structure.

Unit cell a=6.009 b=6.009 c=6.869 alpha=90.00 beta=90.00 gamma=90.00
Fractional coordinates of all 4 atoms:
1 K 0.250 0.250 0.501
2 Sr 0.250 0.750 0.000
3 Sr 0.750 0.250 0.000
4 K 0.750 0.750 0.499

Calculated values
Calculated volume: 248.00 Å³/cell
Final energy: -5.04 eV/cell
ΔE_f: 0.131 eV per atom

---

No. 9
Density functional theory data (PBE) for a geometry-optimized TaTeW2 structure.

Unit cell a=5.536 b=5.536 c=5.536 alpha=145.03 beta=132.28 gamma=60.52
Fractional coordinates of all 4 atoms:
1 W 0.503 0.503 0.000
2 Ta 0.750 0.250 0.500
3 Te 0.250 0.750 0.500
4 W 0.997 0.997 0.000

Calculated values
Calculated volume: 71.24 Å³/cell
Final energy: -39.02 eV/cell
Formation energy (no corrections): 45.4 kJ per mole of atoms

---

No. 10
Density functional theory data (PBE) for a geometry-optimized PmNdPdPt structure.

Unit cell a=3.905 b=4.585 c=5.761 alpha=90.00 beta=109.81 gamma=90.00
Fractional coordinates of all 4 atoms:
1 Pd 0.586 0.500 0.172
2 Pm 0.863 0.500 0.727
3 Nd 0.137 0.000 0.274
4 Pt 0.413 0.000 0.826

Calculated values
Energy relative to the lowest polymorph listed for this composition: 0 meV per atom
Calculated volume: 97.04 Å³/cell
Final energy: -24.75 eV/cell
ΔE_f: -1.000 eV per atom

---

No. 11
Density functional theory data (PBE) for a geometry-optimized KThNpS4 structure.

Unit cell a=8.446 b=8.517 c=8.625 alpha=120.42 beta=90.00 gamma=119.72
Last column: magnetic moment on the atom in μB.
Fractional coordinates of all 14 atoms:
1 S 0.731 0.461 0.271  -0.05
2 K 0.868 0.736 0.118  0.00
3 S 0.697 0.968 0.734  -0.02
4 Th 0.500 0.000 0.000  0.07
5 Np 0.500 0.500 0.500  3.84
6 Np 0.000 0.500 0.500  3.84
7 S 0.269 0.539 0.729  -0.05
8 S 0.303 0.032 0.266  -0.02
9 S 0.729 0.032 0.266  -0.02
10 S 0.269 0.539 0.310  -0.05
11 S 0.271 0.968 0.734  -0.02
12 Th 0.500 0.000 0.500  0.07
13 S 0.731 0.461 0.690  -0.05
14 K 0.132 0.264 0.882  0.00

Calculated values
Calculated volume: 437.76 Å³/cell
Final energy: -98.30 eV/cell
Formation energy (no corrections): -154.1 kJ per mole of atoms

---

No. 12
Density functional theory data (PBE) for a geometry-optimized CdInAs2P structure.

Unit cell a=5.210 b=5.411 c=5.210 alpha=90.00 beta=90.00 gamma=90.00
Fractional coordinates of all 5 atoms:
1 Cd 0.000 0.000 0.000
2 As 0.000 0.000 0.500
3 In 0.000 0.500 0.000
4 As 0.500 0.000 0.000
5 P 0.500 0.500 0.500

Calculated values
Energy relative to the lowest polymorph listed for this composition: 187 meV per atom
Calculated volume: 146.87 Å³/cell
Final energy: -12.87 eV/cell
ΔE_f: 1.099 eV per atom

---

No. 13
Density functional theory data (PBE) for a geometry-optimized LaV2Sb structure.

Unit cell a=8.087 b=8.087 c=6.541 alpha=51.81 beta=51.81 gamma=90.00
Last column: magnetic moment on the atom in μB.
Fractional coordinates of all 8 atoms:
1 V 0.375 0.428 0.750  2.53
2 V 0.875 0.822 0.750  2.53
3 Sb 0.500 0.500 0.000  -0.09
4 V 0.178 0.625 0.250  2.53
5 La 0.000 0.000 0.000  0.15
6 V 0.572 0.125 0.250  2.53
7 Sb 0.250 0.750 0.500  -0.09
8 La 0.750 0.250 0.500  0.15

Calculated values
Calculated volume: 207.63 Å³/cell
Final energy: -49.97 eV/cell
Formation energy (no corrections): 55.5 kJ per mole of atoms

---

No. 14
Density functional theory data (PBE) for a geometry-optimized YAs3P structure.

Unit cell a=5.392 b=5.392 c=5.392 alpha=90.00 beta=90.00 gamma=90.00
Last column: magnetic moment on the atom in μB.
Fractional coordinates of all 5 atoms:
1 As 0.500 0.000 0.000  0.00
2 As 0.000 0.000 0.500  -0.06
3 Y 0.000 0.000 0.000  0.04
4 P 0.500 0.500 0.500  0.57
5 As 0.000 0.500 0.000  0.02

Calculated values
Energy relative to the lowest polymorph listed for this composition: 966 meV per atom
Calculated volume: 156.73 Å³/cell
Final energy: -21.02 eV/cell
ΔE_f: 0.961 eV per atom

---

No. 15
Density functional theory data (PBE) for a geometry-optimized Cd2POs structure.

Unit cell a=9.649 b=9.649 c=9.649 alpha=17.45 beta=17.45 gamma=17.45
Fractional coordinates of all 4 atoms:
1 Os 0.250 0.250 0.250
2 Cd 0.501 0.501 0.501
3 P 0.750 0.750 0.750
4 Cd 0.999 0.999 0.999

Calculated values
Energy relative to the lowest polymorph listed for this composition: 573 meV per atom
Calculated volume: 70.52 Å³/cell
Final energy: -15.94 eV/cell
ΔE_f: 0.632 eV per atom

---

No. 16
Density functional theory data (PBE) for a geometry-optimized Hf2ZrIn structure.

Unit cell a=4.223 b=4.223 c=11.035 alpha=78.97 beta=78.97 gamma=90.00
Fractional coordinates of all 8 atoms:
1 In 0.750 0.250 0.500
2 In 0.000 0.000 0.000
3 Zr 0.500 0.500 0.000
4 Hf 0.128 0.625 0.250
5 Hf 0.875 0.872 0.750
6 Zr 0.250 0.750 0.500
7 Hf 0.622 0.125 0.250
8 Hf 0.375 0.378 0.750

Calculated values
Calculated volume: 189.48 Å³/cell
Final energy: -60.02 eV/cell
ΔE_f: 0.295 eV per atom

---

No. 17
Density functional theory data (PBE) for a geometry-optimized Rb2NaSbI6 structure.

Unit cell a=8.717 b=8.717 c=8.717 alpha=60.00 beta=60.00 gamma=60.00
Fractional coordinates of all 10 atoms:
1 Rb 0.250 0.250 0.250
2 Sb 0.000 0.000 0.000
3 I 0.245 0.755 0.755
4 I 0.245 0.755 0.245
5 I 0.755 0.755 0.245
6 I 0.755 0.245 0.245
7 I 0.245 0.245 0.755
8 I 0.755 0.245 0.755
9 Rb 0.750 0.750 0.750
10 Na 0.500 0.500 0.500

Calculated values
Energy relative to the lowest polymorph listed for this composition: 38 meV per atom
Calculated volume: 468.37 Å³/cell
Final energy: -26.17 eV/cell
Formation energy (no corrections): -91.6 kJ per mole of atoms

---

No. 18
Density functional theory data (PBE) for a geometry-optimized TmZnCuSn structure.

Unit cell a=4.776 b=4.776 c=4.776 alpha=60.00 beta=60.00 gamma=60.00
Fractional coordinates of all 4 atoms:
1 Tm 0.750 0.750 0.750
2 Cu 0.500 0.500 0.500
3 Sn 0.250 0.250 0.250
4 Zn 0.000 0.000 0.000

Calculated values
Calculated volume: 77.03 Å³/cell
Final energy: -14.89 eV/cell
ΔE_f: -0.261 eV per atom

---

No. 19
Density functional theory data (PBE) for a geometry-optimized YCO2F structure.

Unit cell a=4.027 b=3.543 c=4.027 alpha=90.00 beta=90.00 gamma=90.00
Last column: magnetic moment on the atom in μB.
Fractional coordinates of all 5 atoms:
1 Y 0.500 0.500 0.500  0.12
2 F 0.000 0.000 0.000  0.16
3 C 0.000 0.500 0.000  0.69
4 O 0.000 0.000 0.500  0.16
5 O 0.500 0.000 0.000  0.17

Calculated values
Calculated volume: 57.46 Å³/cell
Final energy: -26.51 eV/cell
Formation energy (no corrections): 18.7 kJ per mole of atoms

---

No. 20
Density functional theory data (PBE) for a geometry-optimized Pm3Th2Ge3 structure.

Unit cell a=4.137 b=4.956 c=10.968 alpha=103.06 beta=100.87 gamma=90.00
Fractional coordinates of all 8 atoms:
1 Pm 0.388 0.388 0.777
2 Th 0.260 0.760 0.519
3 Pm 0.500 0.000 0.000
4 Ge 0.000 0.500 0.000
5 Ge 0.868 0.868 0.737
6 Ge 0.132 0.132 0.263
7 Th 0.740 0.240 0.481
8 Pm 0.612 0.612 0.223

Calculated values
Calculated volume: 214.89 Å³/cell
Final energy: -46.58 eV/cell
ΔE_f: -0.454 eV per atom